The following is a DFT calculation (PBE) of a relaxed CsBaCuTe2 crystal.

Properties
The energy relative to the elements, uncorrected is -951.4 meV/atom. The total energy comes out at -3.58 eV per atom. The calculated density is 3964 kg/m³. As for the crystal system: orthorhombic.

Structure (CIF):
```
data_CsBaCuTe2
_chemical_formula_sum 'Cs4 Ba4 Cu4 Te8'
_cell_length_a 9.440
_cell_length_b 18.432
_cell_length_c 5.672
_cell_angle_alpha 90.00
_cell_angle_beta 90.00
_cell_angle_gamma 90.00
_space_group_name_H-M_alt 'C m m e'
_space_group_IT_number 67
_space_group_name_Hall '-C 2a 2'
loop_
_atom_site_label
_atom_site_type_symbol
_atom_site_fract_x
_atom_site_fract_y
_atom_site_fract_z
_atom_site_occupancy
Cs1 Cs 0.000 0.250 0.240 1
Ba1 Ba 0.250 0.000 0.000 1
Cu1 Cu 0.000 0.000 0.500 1
Te1 Te 0.000 0.111 0.735 1
```



The following is a DFT calculation (PBE) of a relaxed La8Dy3Mg2 crystal.

Properties
The total energy comes out at -4.25 eV per atom. For the energy of formation from the pure elements, the calculation gives 0.093 eV/atom. The calculated density is 6190 kg/m³. As for the crystal system: monoclinic.

Structure (CIF):
```
data_La8Dy3Mg2
_chemical_formula_sum 'La16 Dy6 Mg4'
_cell_length_a 13.667
_cell_length_b 11.548
_cell_length_c 6.083
_cell_angle_alpha 90.00
_cell_angle_beta 112.99
_cell_angle_gamma 90.00
_space_group_name_H-M_alt 'C 1 2/m 1'
_space_group_IT_number 12
loop_
_space_group_symop_operation_xyz
'x,y,z'
'-x,-y,-z'
'-x,y,-z'
'x,-y,z'
'x+1/2,y+1/2,z'
'-x+1/2,-y+1/2,-z'
'-x+1/2,y+1/2,-z'
'x+1/2,-y+1/2,z'
loop_
_atom_site_label
_atom_site_type_symbol
_atom_site_fract_x
_atom_site_fract_y
_atom_site_fract_z
_atom_site_occupancy
La1 La 0.089 0.000 0.225 1
La2 La 0.142 0.500 0.610 1
La3 La 0.169 0.269 0.161 1
Dy1 Dy 0.000 0.225 0.500 1
Dy2 Dy 0.000 0.500 0.000 1
Mg1 Mg 0.175 0.000 0.802 1
```



The following is a DFT calculation (PBE) of a relaxed LiAc4Pr crystal.

Properties
The total energy comes out at -3.44 eV per atom. For the energy of formation from the pure elements, the calculation gives 0.413 eV/atom. The calculated density is 6436 kg/m³. As for the crystal system: cubic.

Structure (CIF):
```
data_LiAc4Pr
_chemical_formula_sum 'Li4 Ac16 Pr4'
_cell_length_a 10.290
_cell_length_b 10.290
_cell_length_c 10.290
_cell_angle_alpha 90.00
_cell_angle_beta 90.00
_cell_angle_gamma 90.00
_space_group_name_H-M_alt 'F -4 3 m'
_space_group_IT_number 216
_space_group_name_Hall 'F -4 2 3'
loop_
_atom_site_label
_atom_site_type_symbol
_atom_site_fract_x
_atom_site_fract_y
_atom_site_fract_z
_atom_site_occupancy
Li1 Li 0.000 0.000 0.000 1
Ac1 Ac 0.124 0.124 0.624 1
Pr1 Pr 0.250 0.250 0.250 1
```



The following is a DFT calculation (PBE) of a relaxed RbAlS2Cl crystal.

Properties
The energy relative to the elements, uncorrected is -929.5 meV/atom. The total energy comes out at -3.89 eV per atom. The calculated density is 3012 kg/m³. As for the crystal system: tetragonal.

Structure (CIF):
```
data_RbAlS2Cl
_chemical_formula_sum 'Rb1 Al1 S2 Cl1'
_cell_length_a 4.645
_cell_length_b 4.645
_cell_length_c 5.418
_cell_angle_alpha 90.00
_cell_angle_beta 90.00
_cell_angle_gamma 90.00
_space_group_name_H-M_alt 'P 4/m m m'
_space_group_IT_number 123
_space_group_name_Hall '-P 4 2'
loop_
_atom_site_label
_atom_site_type_symbol
_atom_site_fract_x
_atom_site_fract_y
_atom_site_fract_z
_atom_site_occupancy
Rb1 Rb 0.000 0.000 0.000 1
Al1 Al 0.500 0.500 0.500 1
S1 S 0.000 0.500 0.500 1
Cl1 Cl 0.500 0.500 0.000 1
```



The following is a DFT calculation (PBE) of a relaxed RbNa2InHg4 crystal.

Properties
The total energy comes out at -1.13 eV per atom. For the energy of formation from the pure elements, the calculation gives -0.189 eV/atom. The calculated density is 6950 kg/m³. As for the crystal system: trigonal.

Structure (CIF):
```
data_RbNa2InHg4
_chemical_formula_sum 'Rb3 Na6 In3 Hg12'
_cell_length_a 5.1778
_cell_length_b 5.1778
_cell_length_c 32.3735
_cell_angle_alpha 90.00
_cell_angle_beta 90.00
_cell_angle_gamma 120.00
_space_group_name_H-M_alt 'R -3 m'
_space_group_IT_number 166
_space_group_name_Hall '-R 3 2"'
loop_
_atom_site_label
_atom_site_type_symbol
_atom_site_fract_x
_atom_site_fract_y
_atom_site_fract_z
_atom_site_occupancy
Rb1 Rb 0.0000 0.0000 0.0000 1
Na1 Na 0.0000 0.0000 0.2293 1
In1 In 0.0000 0.0000 0.5000 1
Hg1 Hg 0.0000 0.0000 0.1282 1
Hg2 Hg 0.0000 0.0000 0.3991 1
```



The following is a DFT calculation (PBE) of a relaxed LiCrNi2Ru crystal.

Properties
The total energy comes out at -5.54 eV per atom. For the energy of formation from the pure elements, the calculation gives 0.937 eV/atom. The calculated density is 7745 kg/m³. As for the crystal system: tetragonal.

Structure (CIF):
```
data_LiCrNi2Ru
_chemical_formula_sum 'Li1 Cr1 Ni2 Ru1'
_cell_length_a 3.794
_cell_length_b 3.794
_cell_length_c 4.132
_cell_angle_alpha 90.00
_cell_angle_beta 90.00
_cell_angle_gamma 90.00
_space_group_name_H-M_alt 'P 4/m m m'
_space_group_IT_number 123
_space_group_name_Hall '-P 4 2'
loop_
_atom_site_label
_atom_site_type_symbol
_atom_site_fract_x
_atom_site_fract_y
_atom_site_fract_z
_atom_site_occupancy
Li1 Li 0.000 0.000 0.000 1
Cr1 Cr 0.500 0.500 0.500 1
Ni1 Ni 0.000 0.500 0.000 1
Ru1 Ru 0.000 0.000 0.500 1
```